PBE InIr2W, optimized geometry; SG = R3m; size of the total moment = 0.00 μB per formula unit; electronic total energy = -8.129 eV/atom; D(E_F) = 5.82 states/eV/f.u.; energy of formation = 0.22 eV/atom
1.0
1.434 0.828 9.181
-1.434 0.828 9.181
0.000 -1.655 9.181
In Ir W
1 2 1
direct
0.000 0.000 0.000 In
0.500 0.500 0.500 Ir
0.750 0.750 0.750 Ir
0.243 0.243 0.243 W

***

PBE ScAl2IrW, optimized geometry; SG = P4/mmm; size of the total moment = 0.00 μB per formula unit; electronic total energy = -5.980 eV/atom; D(E_F) = 4.73 states/eV/f.u.; energy of formation = 1.15 eV/atom; energy above the lowest structure with this stoichiometry = 781.1 meV per atom
1.0
4.762 0.000 0.000
0.000 4.762 0.000
0.000 0.000 4.721
Sc Al Ir W
1 2 1 1
direct
0.000 0.000 0.000 Sc
0.000 0.500 0.500 Al
0.500 0.000 0.500 Al
0.500 0.500 0.000 Ir
0.000 0.000 0.500 W

***

PBE MgTl2Cd, optimized geometry; SG = Pmm2; size of the total moment = 0.00 μB per formula unit; electronic total energy = -1.788 eV/atom; D(E_F) = 1.72 states/eV/f.u.; energy of formation = 0.02 eV/atom; energy above the lowest structure with this stoichiometry = 28.3 meV per atom
1.0
3.397 0.000 0.000
0.000 4.757 0.000
0.000 0.000 6.516
Mg Tl Cd
1 2 1
direct
0.000 0.000 0.000 Mg
0.000 0.000 0.516 Tl
0.500 0.500 0.246 Tl
0.500 0.500 0.768 Cd

***

PBE PmSc3Co8, optimized geometry; SG = R3m; size of the total moment = 7.35 μB per formula unit; electronic total energy = -6.980 eV/atom; D(E_F) = 15.59 states/eV/f.u.; energy of formation = -0.26 eV/atom
1.0
2.470 1.426 8.118
-2.470 1.426 8.118
0.000 -2.853 8.118
Pm Sc Co
1 3 8
direct
0.000 0.000 0.000 Pm
0.378 0.378 0.378 Sc
0.500 0.500 0.500 Sc
0.873 0.873 0.873 Sc
0.187 0.187 0.187 Co
0.436 0.436 0.931 Co
0.436 0.931 0.436 Co
0.445 0.938 0.938 Co
0.688 0.688 0.688 Co
0.931 0.436 0.436 Co
0.938 0.445 0.938 Co
0.938 0.938 0.445 Co

***

PBE TiBiS3, optimized geometry; SG = Pm-3m; formation energy without anion corrections = 691 meV per atom; size of the total moment = 0.00 μB per formula unit; electronic total energy = -4.141 eV/atom; D(E_F) = 23.86 states/eV/f.u.; energy above the lowest structure with this stoichiometry = 1521.5 meV per atom
1.0
5.131 0.000 0.000
0.000 5.131 0.000
0.000 0.000 5.131
Ti Bi S
1 1 3
direct
0.000 0.000 0.000 Ti
0.500 0.500 0.500 Bi
0.000 0.500 0.500 S
0.500 0.000 0.500 S
0.500 0.500 0.000 S

***

PBE LaTmPb2, optimized geometry; SG = P2_1/m; size of the total moment = 0.00 μB per formula unit; electronic total energy = -4.701 eV/atom; D(E_F) = 2.04 states/eV/f.u.; energy of formation = -0.50 eV/atom
1.0
6.632 0.000 0.000
0.000 4.867 0.000
-3.170 0.000 7.815
La Tm Pb
2 2 4
direct
0.192 0.250 0.383 La
0.808 0.750 0.617 La
0.410 0.750 0.106 Tm
0.590 0.250 0.894 Tm
0.084 0.250 0.899 Pb
0.334 0.750 0.672 Pb
0.666 0.250 0.328 Pb
0.916 0.750 0.101 Pb

***

PBE Ce2CuGe2, optimized geometry; SG = C2/m; size of the total moment = 1.55 μB per formula unit; electronic total energy = -5.663 eV/atom; D(E_F) = 9.78 states/eV/f.u.; energy of formation = -0.62 eV/atom
1.0
5.392 -2.106 0.000
5.392 2.106 0.000
-4.078 0.000 9.806
Ce Cu Ge
4 2 4
direct
0.074 0.074 0.412 Ce
0.310 0.310 0.854 Ce
0.690 0.690 0.146 Ce
0.926 0.926 0.588 Ce
0.414 0.414 0.178 Cu
0.586 0.586 0.822 Cu
0.050 0.050 0.911 Ge
0.335 0.335 0.364 Ge
0.665 0.665 0.636 Ge
0.950 0.950 0.089 Ge

***

PBE RbTlPb, optimized geometry; SG = P1; size of the total moment = 0.00 μB per formula unit; electronic total energy = -2.457 eV/atom; D(E_F) = 2.02 states/eV/f.u.; energy of formation = -0.11 eV/atom
1.0
4.807 0.000 0.000
-2.394 7.103 0.000
-2.399 -1.575 7.192
Rb Tl Pb
2 2 2
direct
0.000 0.000 0.000 Rb
0.437 0.303 0.570 Rb
0.197 0.773 0.621 Tl
0.590 0.838 0.342 Tl
0.248 0.537 0.957 Pb
0.847 0.474 0.218 Pb

***

PBE ZrMoP2Cl, optimized geometry; SG = P4/mmm; formation energy without anion corrections = 539 meV per atom; size of the total moment = 3.73 μB per formula unit; electronic total energy = -5.870 eV/atom; D(E_F) = 3.00 states/eV/f.u.; energy above the lowest structure with this stoichiometry = 218.9 meV per atom
1.0
5.072 0.000 0.000
0.000 5.072 0.000
0.000 0.000 4.863
Zr Mo P Cl
1 1 2 1
direct
0.000 0.000 0.000 Zr
0.500 0.500 0.500 Mo
0.000 0.500 0.000 P
0.500 0.000 0.000 P
0.000 0.000 0.500 Cl

***

PBE NaSr5Li, optimized geometry; SG = C2/c; size of the total moment = 0.01 μB per formula unit; electronic total energy = -1.564 eV/atom; D(E_F) = 6.95 states/eV/f.u.; energy of formation = 0.10 eV/atom
1.0
5.315 -4.456 0.000
5.315 4.456 0.000
-3.044 0.000 14.451
Na Sr Li
2 10 2
direct
0.124 0.876 0.750 Na
0.876 0.124 0.250 Na
0.003 0.292 0.581 Sr
0.077 0.400 0.875 Sr
0.292 0.003 0.081 Sr
0.400 0.077 0.375 Sr
0.466 0.534 0.250 Sr
0.534 0.466 0.750 Sr
0.600 0.923 0.625 Sr
0.708 0.997 0.919 Sr
0.923 0.600 0.125 Sr
0.997 0.708 0.419 Sr
0.500 0.500 0.000 Li
0.500 0.500 0.500 Li

***

PBE Li16Cu6Pd7, optimized geometry; SG = Fm-3m; size of the total moment = 0.00 μB per formula unit; electronic total energy = -3.272 eV/atom; D(E_F) = 4.70 states/eV/f.u.; energy of formation = -0.12 eV/atom
1.0
0.000 5.943 5.943
5.943 0.000 5.943
5.943 5.943 0.000
Li Cu Pd
16 6 7
direct
0.043 0.652 0.652 Li
0.119 0.119 0.119 Li
0.119 0.119 0.643 Li
0.119 0.643 0.119 Li
0.348 0.348 0.348 Li
0.348 0.348 0.957 Li
0.348 0.957 0.348 Li
0.357 0.881 0.881 Li
0.643 0.119 0.119 Li
0.652 0.043 0.652 Li
0.652 0.652 0.043 Li
0.652 0.652 0.652 Li
0.881 0.357 0.881 Li
0.881 0.881 0.357 Li
0.881 0.881 0.881 Li
0.957 0.348 0.348 Li
0.337 0.337 0.663 Cu
0.337 0.663 0.337 Cu
0.337 0.663 0.663 Cu
0.663 0.337 0.337 Cu
0.663 0.337 0.663 Cu
0.663 0.663 0.337 Cu
0.000 0.000 0.000 Pd
0.000 0.000 0.500 Pd
0.000 0.500 0.000 Pd
0.000 0.500 0.500 Pd
0.500 0.000 0.000 Pd
0.500 0.000 0.500 Pd
0.500 0.500 0.000 Pd

***

PBE Cd2Au2I, optimized geometry; SG = I4/mmm; formation energy without anion corrections = -18 meV per atom; size of the total moment = 0.00 μB per formula unit; electronic total energy = -2.005 eV/atom; D(E_F) = 2.09 states/eV/f.u.; energy above the lowest structure with this stoichiometry = 51.6 meV per atom
1.0
-2.199 2.199 6.408
2.199 -2.199 6.408
2.199 2.199 -6.408
Cd Au I
2 2 1
direct
0.250 0.750 0.500 Cd
0.750 0.250 0.500 Cd
0.110 0.110 0.000 Au
0.890 0.890 0.000 Au
0.500 0.500 0.000 I

***

PBE TiMnFe2P, optimized geometry; SG = P4/mmm; size of the total moment = 0.49 μB per formula unit; electronic total energy = -6.422 eV/atom; D(E_F) = 9.35 states/eV/f.u.; energy of formation = 1.46 eV/atom
1.0
4.146 0.000 0.000
0.000 4.146 0.000
0.000 0.000 4.491
Ti Mn Fe P
1 1 2 1
direct
0.000 0.000 0.000 Ti
0.500 0.500 0.500 Mn
0.000 0.500 0.000 Fe
0.500 0.000 0.000 Fe
0.000 0.000 0.500 P

***

PBE RbSb3F, optimized geometry; SG = Pm-3m; formation energy without anion corrections = 1271 meV per atom; size of the total moment = 0.00 μB per formula unit; electronic total energy = -1.771 eV/atom; D(E_F) = 9.42 states/eV/f.u.; energy above the lowest structure with this stoichiometry = 1538.9 meV per atom
1.0
6.171 0.000 0.000
0.000 6.171 0.000
0.000 0.000 6.171
Rb Sb F
1 3 1
direct
0.000 0.000 0.000 Rb
0.000 0.000 0.500 Sb
0.000 0.500 0.000 Sb
0.500 0.000 0.000 Sb
0.500 0.500 0.500 F

***

PBE Ba2CeTiS6, optimized geometry; SG = C2/m; formation energy without anion corrections = -1767 meV per atom; size of the total moment = 0.00 μB per formula unit; electronic total energy = -6.011 eV/atom
1.0
6.151 -3.540 0.000
6.151 3.540 0.000
-4.190 0.000 5.915
Ba Ce Ti S
2 1 1 6
direct
0.246 0.246 0.239 Ba
0.754 0.754 0.761 Ba
0.000 0.000 0.500 Ce
0.500 0.500 0.000 Ti
0.223 0.702 0.199 S
0.263 0.263 0.694 S
0.298 0.777 0.801 S
0.702 0.223 0.199 S
0.737 0.737 0.306 S
0.777 0.298 0.801 S

***

PBE NbNi2AuN, optimized geometry; SG = P4/mmm; formation energy without anion corrections = -173 meV per atom; size of the total moment = 0.77 μB per formula unit; electronic total energy = -6.820 eV/atom; D(E_F) = 6.75 states/eV/f.u.
1.0
3.948 0.000 0.000
0.000 3.948 0.000
0.000 0.000 4.155
Nb Ni Au N
1 2 1 1
direct
0.000 0.000 0.000 Nb
0.000 0.500 0.500 Ni
0.500 0.000 0.500 Ni
0.500 0.500 0.000 Au
0.000 0.000 0.500 N

***

PBE SrSeF5, optimized geometry; SG = C2/c; formation energy without anion corrections = -2445 meV per atom; size of the total moment = 0.00 μB per formula unit; electronic total energy = -4.520 eV/atom
1.0
4.893 -3.259 0.000
4.893 3.259 0.000
-4.224 0.000 8.230
Sr Se F
2 2 10
direct
0.044 0.956 0.750 Sr
0.956 0.044 0.250 Sr
0.500 0.500 0.000 Se
0.500 0.500 0.500 Se
0.196 0.803 0.030 F
0.197 0.804 0.470 F
0.274 0.275 0.387 F
0.275 0.274 0.887 F
0.419 0.581 0.750 F
0.581 0.419 0.250 F
0.725 0.726 0.113 F
0.726 0.725 0.613 F
0.803 0.196 0.530 F
0.804 0.197 0.970 F

***

PBE Tb2Nd5In5, optimized geometry; SG = C2/m; size of the total moment = 0.00 μB per formula unit; electronic total energy = -4.216 eV/atom; D(E_F) = 12.73 states/eV/f.u.; energy of formation = -0.32 eV/atom
1.0
5.862 -2.647 0.000
5.862 2.647 0.000
-4.065 0.000 11.550
Tb Nd In
2 5 5
direct
0.069 0.069 0.258 Tb
0.931 0.931 0.742 Tb
0.344 0.344 0.500 Nd
0.364 0.364 0.226 Nd
0.500 0.500 0.000 Nd
0.636 0.636 0.774 Nd
0.656 0.656 0.500 Nd
0.000 0.000 0.500 In
0.173 0.173 0.961 In
0.272 0.272 0.732 In
0.728 0.728 0.268 In
0.827 0.827 0.039 In

***

PBE ReTcAu2, optimized geometry; SG = I-42d; size of the total moment = 1.82 μB per formula unit; electronic total energy = -6.242 eV/atom; D(E_F) = 3.47 states/eV/f.u.; energy of formation = 1.10 eV/atom; energy above the lowest structure with this stoichiometry = 965.0 meV per atom
1.0
-3.712 3.712 2.609
3.712 -3.712 2.609
3.712 3.712 -2.609
Re Tc Au
2 2 4
direct
0.000 0.000 0.000 Re
0.750 0.250 0.500 Re
0.250 0.750 0.500 Tc
0.500 0.500 0.000 Tc
0.121 0.625 0.996 Au
0.375 0.371 0.496 Au
0.629 0.125 0.004 Au
0.875 0.879 0.504 Au

***

PBE Pa2SiTc3, optimized geometry; SG = P6_3/mmc; formation energy without anion corrections = -403 meV per atom; size of the total moment = 0.00 μB per formula unit; electronic total energy = -9.655 eV/atom; D(E_F) = 9.12 states/eV/f.u.; energy above the lowest structure with this stoichiometry = 25.0 meV per atom
1.0
5.458 0.000 0.000
-2.729 4.727 0.000
0.000 0.000 8.287
Pa Si Tc
4 2 6
direct
0.333 0.667 0.078 Pa
0.333 0.667 0.422 Pa
0.667 0.333 0.578 Pa
0.667 0.333 0.922 Pa
0.000 0.000 0.000 Si
0.000 0.000 0.500 Si
0.171 0.341 0.750 Tc
0.171 0.829 0.750 Tc
0.341 0.171 0.250 Tc
0.659 0.829 0.750 Tc
0.829 0.171 0.250 Tc
0.829 0.659 0.250 Tc

***

PBE Y2CrHPd, optimized geometry; SG = P4/mmm; size of the total moment = 3.51 μB per formula unit; electronic total energy = -6.516 eV/atom; D(E_F) = 3.64 states/eV/f.u.
1.0
4.928 0.000 0.000
0.000 4.928 0.000
0.000 0.000 3.725
Y Cr H Pd
2 1 1 1
direct
0.000 0.500 0.000 Y
0.500 0.000 0.000 Y
0.000 0.000 0.500 Cr
0.000 0.000 0.000 H
0.500 0.500 0.500 Pd

***

PBE LaOs2Pb, optimized geometry; SG = C2/m; size of the total moment = 0.00 μB per formula unit; electronic total energy = -7.332 eV/atom; D(E_F) = 4.09 states/eV/f.u.; energy of formation = 0.44 eV/atom
1.0
4.449 -2.240 0.000
4.449 2.240 0.000
-2.628 0.000 5.131
La Os Pb
1 2 1
direct
0.000 0.000 0.000 La
0.206 0.206 0.550 Os
0.794 0.794 0.450 Os
0.500 0.500 0.500 Pb

***

PBE Tm6TlSi2Se3, optimized geometry; SG = C2/m; formation energy without anion corrections = -1137 meV per atom; size of the total moment = 0.00 μB per formula unit; electronic total energy = -5.345 eV/atom; D(E_F) = 4.33 states/eV/f.u.
1.0
9.055 -2.033 0.000
9.055 2.033 0.000
-2.418 0.000 7.959
Tm Tl Si Se
6 1 2 3
direct
0.000 0.000 0.235 Tm
0.000 0.000 0.765 Tm
0.327 0.327 0.933 Tm
0.328 0.328 0.408 Tm
0.672 0.672 0.592 Tm
0.673 0.673 0.067 Tm
0.500 0.500 0.500 Tl
0.163 0.163 0.824 Si
0.837 0.837 0.176 Si
0.167 0.167 0.326 Se
0.500 0.500 0.000 Se
0.833 0.833 0.674 Se

***

PBE NbCdN2O, optimized geometry; SG = P4/mmm; formation energy without anion corrections = 1429 meV per atom; size of the total moment = 0.00 μB per formula unit; electronic total energy = -5.090 eV/atom; D(E_F) = 3.63 states/eV/f.u.
1.0
4.032 0.000 0.000
0.000 4.032 0.000
0.000 0.000 3.937
Nb Cd N O
1 1 2 1
direct
0.000 0.000 0.000 Nb
0.500 0.500 0.500 Cd
0.000 0.500 0.500 N
0.500 0.000 0.500 N
0.500 0.500 0.000 O